# NdSm8Mg2 GGA-PBE optimized geometry
# Energy of formation in eV per atom: 0.122
# Excess energy over the best structure of this formula in the dataset in eV/f.u.: 1.20
data_NdSm8Mg2
_chemical_formula_sum 'Nd2 Sm16 Mg4'
_symmetry_space_group_name_H-M 'C 1 2/m 1'
_symmetry_Int_Tables_number 12
_symmetry_space_group_name_Hall '-C 2y'
_cell_length_a 8.9038
_cell_length_b 15.7963
_cell_length_c 5.8317
_cell_angle_alpha 90.00
_cell_angle_beta 117.72
_cell_angle_gamma 90.00
loop_
_atom_site_label
_atom_site_type_symbol
_atom_site_fract_x
_atom_site_fract_y
_atom_site_fract_z
_atom_site_occupancy
Nd1 Nd 0.0000 0.0000 0.0000 1
Sm1 Sm 0.0000 0.2118 0.0000 1
Sm2 Sm 0.0879 0.5000 0.7941 1
Sm3 Sm 0.2112 0.1141 0.6406 1
Mg1 Mg 0.0000 0.3073 0.5000 1

***

# AlSb2Br GGA-PBE optimized geometry
# Excess energy over the best structure of this formula in the dataset in eV/f.u.: 1.30
# Uncorrected formation energy in eV per atom: 0.125
data_AlSb2Br
_chemical_formula_sum 'Al2 Sb4 Br2'
_symmetry_space_group_name_H-M 'C 1 2/m 1'
_symmetry_Int_Tables_number 12
_symmetry_space_group_name_Hall '-C 2y'
_cell_length_a 6.1043
_cell_length_b 8.5771
_cell_length_c 5.2596
_cell_angle_alpha 90.00
_cell_angle_beta 125.30
_cell_angle_gamma 90.00
loop_
_atom_site_label
_atom_site_type_symbol
_atom_site_fract_x
_atom_site_fract_y
_atom_site_fract_z
_atom_site_occupancy
Al1 Al 0.0000 0.0000 0.0000 1
Sb1 Sb 0.2500 0.2500 0.5000 1
Br1 Br 0.0000 0.5000 0.0000 1

***

# KAlRuRh2 GGA-PBE optimized geometry
# Energy of formation in eV per atom: 0.685
data_KAlRuRh2
_chemical_formula_sum 'K1 Al1 Ru1 Rh2'
_symmetry_space_group_name_H-M 'P 4/m m m'
_symmetry_Int_Tables_number 123
_symmetry_space_group_name_Hall '-P 4 2'
_cell_length_a 4.8110
_cell_length_b 4.8110
_cell_length_c 4.8230
_cell_angle_alpha 90.00
_cell_angle_beta 90.00
_cell_angle_gamma 90.00
loop_
_atom_site_label
_atom_site_type_symbol
_atom_site_fract_x
_atom_site_fract_y
_atom_site_fract_z
_atom_site_occupancy
K1 K 0.0000 0.0000 0.0000 1
Al1 Al 0.5000 0.5000 0.0000 1
Ru1 Ru 0.5000 0.5000 0.5000 1
Rh1 Rh 0.0000 0.5000 0.5000 1

***

# Y5Bi2Te2 GGA-PBE optimized geometry
# Uncorrected formation energy in eV per atom: -0.940
data_Y5Bi2Te2
_chemical_formula_sum 'Y20 Bi8 Te8'
_symmetry_space_group_name_H-M 'C m c e'
_symmetry_Int_Tables_number 64
_symmetry_space_group_name_Hall '-C 2ac 2'
_cell_length_a 15.4215
_cell_length_b 8.2166
_cell_length_c 8.2874
_cell_angle_alpha 90.00
_cell_angle_beta 90.00
_cell_angle_gamma 90.00
loop_
_atom_site_label
_atom_site_type_symbol
_atom_site_fract_x
_atom_site_fract_y
_atom_site_fract_z
_atom_site_occupancy
Y1 Y 0.0000 0.0000 0.0000 1
Y2 Y 0.1329 0.1551 0.3430 1
Bi1 Bi 0.2003 0.0000 0.0000 1
Te1 Te 0.0000 0.1458 0.6444 1

***

| no. | E (eV per atom) | calculated density (g/cm³) |
| --- | --- | --- |
| 1 | -4.034 | 6.4 |
| 2 | -3.290 | 5.2 |
| 3 | -5.078 | 5.5 |
| 4 | -6.091 | 7.1 |